Record 1
4
Lattice="-2.711 3.350 -1.652 -2.757 0.018 4.562 3.318 3.667 1.991" Properties=species:S:1:pos:R:3 comment="Ac2EuAs PBE optimized geometry" formation_energy_mev_per_atom=-371 de_polymorph_ev_per_atom=0.230 crystal_system=tetragonal pbc="T T T"
Eu -1.075 3.517 2.450
Ac 1.659 1.833 0.995
Ac -1.379 0.009 2.281
As -1.356 1.675 -0.826


Record 2
10
Lattice="2.934 0.002 -0.001 1.470 5.027 -0.121 0.000 2.017 8.713" Properties=species:S:1:pos:R:3 comment="NiMo3N PBE optimized geometry" de_polymorph_ev_per_atom=0.000 crystal_system=triclinic pbc="T T T"
Ni 3.772 5.062 1.222
Ni 3.768 5.928 7.791
Mo 0.839 1.324 3.013
Mo 2.305 2.843 0.972
Mo 0.832 3.118 8.163
Mo 2.305 1.833 5.377
Mo 2.298 4.638 6.122
Mo 3.766 4.130 3.757
N 0.834 3.157 6.109
N 2.302 2.804 3.027


Record 3
5
Lattice="4.415 0.000 0.000 0.000 4.415 0.000 0.000 0.000 4.415" Properties=species:S:1:pos:R:3 comment="CaAl3N PBE optimized geometry" de_polymorph_ev_per_atom=0.000 crystal_system=cubic pbc="T T T"
Ca 2.208 2.208 2.208
Al 0.000 2.208 0.000
Al 0.000 0.000 2.208
Al 2.208 0.000 0.000
N 0.000 0.000 0.000


Record 4
30
Lattice="1.182 4.920 -4.322 -6.200 -0.227 2.405 2.834 17.953 16.845" Properties=species:S:1:pos:R:3 comment="Tb12CeY2 PBE optimized geometry" formation_energy_mev_per_atom=116 crystal_system=monoclinic pbc="T T T"
Tb 0.258 16.255 12.702
Tb -2.265 18.592 11.756
Tb -0.119 19.298 14.510
Tb -1.197 15.919 15.557
Tb 0.926 5.924 5.526
Tb -4.679 4.154 2.734
Tb 0.635 14.285 6.934
Tb -1.600 8.258 4.583
Tb 2.293 16.884 15.557
Tb -4.575 5.694 -0.540
Tb -0.104 11.532 8.733
Tb 0.871 10.934 4.630
Tb -3.094 16.735 9.386
Tb 0.428 8.768 7.154
Tb -1.968 3.416 0.330
Tb -2.100 11.101 6.213
Tb -2.594 13.891 7.757
Tb 0.066 4.045 3.185
Tb -3.082 11.696 10.257
Tb -0.602 14.376 10.360
Tb 2.552 18.460 12.233
Tb -2.429 6.401 2.214
Tb -2.793 8.377 8.034
Tb -1.046 6.759 -0.668
Ce -5.318 1.969 0.361
Ce -0.557 18.104 17.930
Y 1.119 7.530 2.297
Y -2.561 4.955 5.671
Y 0.387 17.690 9.267
Y -3.315 15.119 12.620


Record 5
4
Lattice="-3.823 0.108 2.082 -1.446 -0.622 4.060 0.178 4.862 1.580" Properties=species:S:1:pos:R:3 comment="Ni2HgAs PBE optimized geometry" formation_energy_mev_per_atom=89 crystal_system=monoclinic pbc="T T T"
As -2.383 2.780 3.890
Hg -1.336 0.914 1.943
Ni 0.095 4.577 1.575
Ni -3.833 3.111 5.755


Record 6
4
Lattice="-2.475 -3.170 3.444 2.248 -1.112 4.663 -2.025 2.007 4.462" Properties=species:S:1:pos:R:3 comment="AcAgSnAs PBE optimized geometry" formation_energy_mev_per_atom=-407 crystal_system=cubic pbc="T T T"
As 0.000 0.000 0.000
Ac -1.689 -1.707 9.426
Sn -0.563 -0.569 3.142
Ag -1.126 -1.138 6.284